The following is a PBE calculation of a relaxed TmIn8Cu4 crystal, from the Open Quantum Materials Database.

```
TmIn8Cu4
1.0
0.9718 -1.6744 7.1608
2.9626 4.8823 -4.7342
-6.7719 2.9841 0.5115
Tm Cu In
1 4 8
Direct
0.0000 0.0000 0.0000
0.0000 0.5000 0.0000
0.0000 0.0000 0.5000
0.5000 0.0000 0.0000
0.5000 0.5000 0.5000
0.6620 0.0000 0.6620
0.5000 0.7146 0.2146
0.2854 0.5000 0.7854
0.7146 0.5000 0.2146
0.3380 0.0000 0.3380
0.5000 0.2854 0.7854
0.0000 0.6620 0.6620
0.0000 0.3380 0.3380
```

Output
Calculated total energy ... -3.1797 eV per atom
Calculated volume ... 20.390 A^3/atom
Space-group type ... No. 139

The following is a PBE calculation of a relaxed YTmIn4Cu2 crystal, from the Open Quantum Materials Database.

```
YTmIn4Cu2
1.0
7.3260 0.0000 0.0000
0.0000 2.1878 5.3488
0.0000 -2.1878 5.3488
Y Tm Cu In
1 1 2 4
Direct
0.5000 0.4291 0.4291
0.0000 0.5709 0.5709
0.5000 0.7125 0.7125
0.0000 0.2886 0.2886
0.2972 0.1372 0.1372
0.7988 0.8623 0.8623
0.2012 0.8623 0.8623
0.7028 0.1372 0.1372
```

Output
Calculated total energy ... -3.9854 eV per atom
Calculated volume ... 21.432 A^3/atom
Space-group type ... No. 38

The following is a PBE calculation of a relaxed UInCu crystal, from the Open Quantum Materials Database.

```
UInCu
1.0
0.2016 -0.8615 4.5119
0.0431 3.4796 3.0051
-3.6685 0.7884 2.6571
U Cu In
1 1 1
Direct
0.7500 0.7500 0.7500
0.0000 0.0000 0.0000
0.2500 0.2500 0.2500
```

Output
Calculated total energy ... -5.5844 eV per atom
Calculated volume ... 22.910 A^3/atom
Space-group type ... No. 216

Which formula does entry 2 have? YTmIn4Cu2

Copy entry 1 word for word.
The following is a PBE calculation of a relaxed TmIn8Cu4 crystal, from the Open Quantum Materials Database.

```
TmIn8Cu4
1.0
0.9718 -1.6744 7.1608
2.9626 4.8823 -4.7342
-6.7719 2.9841 0.5115
Tm Cu In
1 4 8
Direct
0.0000 0.0000 0.0000
0.0000 0.5000 0.0000
0.0000 0.0000 0.5000
0.5000 0.0000 0.0000
0.5000 0.5000 0.5000
0.6620 0.0000 0.6620
0.5000 0.7146 0.2146
0.2854 0.5000 0.7854
0.7146 0.5000 0.2146
0.3380 0.0000 0.3380
0.5000 0.2854 0.7854
0.0000 0.6620 0.6620
0.0000 0.3380 0.3380
```

Output
Calculated total energy ... -3.1797 eV per atom
Calculated volume ... 20.390 A^3/atom
Space-group type ... No. 139

The highest calculated volume belongs to which entry? UInCu

What is the calculated volume in the second record? 21.432 A^3/atom